# Lu4AlZnC2 (PBE-GGA, relaxed)
data_Lu4AlZnC2
_chemical_formula_sum 'Lu4 Al1 Zn1 C2'
_space_group_name_H-M_alt 'P -6 m 2'
_space_group_IT_number 187
_space_group_name_Hall 'P -6 2'
_cell_length_a 3.4895
_cell_length_b 3.4895
_cell_length_c 15.1562
_cell_angle_alpha 90.00
_cell_angle_beta 90.00
_cell_angle_gamma 120.00
loop_
_atom_site_label
_atom_site_fract_x
_atom_site_fract_y
_atom_site_fract_z
Lu1 0.0000 0.0000 0.1608
Lu2 0.6667 0.3333 0.3341
Al1 0.0000 0.0000 0.5000
Zn1 0.6667 0.3333 0.0000
C1 0.3333 0.6667 0.2453
# - Crystal system: hexagonal
# - Total DFT energy (no corrections): -44.1 eV per cell
# - Total magnetization: 1.06 μB per cell